Ba5GaTe6 | GGA-PBE | relaxed

Results
As for the crystal system: monoclinic. Its uncorrected formation energy is -1419.0 meV/atom. Its electronic total energy is -48.518 eV/cell.

Cell lengths 8.524, 8.527, 8.534 Å; angles 60.03, 80.40, 70.49 degrees
Sites, in units of the cell vectors:
Ba  0.500  0.169  0.662
Ba  0.000  0.334  0.332
Ba  0.500  0.500  0.000
Ba  0.000  0.666  0.668
Ba  0.500  0.831  0.338
Ga  0.000  0.000  0.000
Te  0.761  0.080  0.315
Te  0.239  0.605  0.315
Te  0.239  0.233  0.000
Te  0.761  0.767  0.000
Te  0.761  0.395  0.685
Te  0.239  0.920  0.685